# Y2CuGe

A relaxed Y2CuGe crystal (PBE, OQMD via LeMat-Bulk).

abc: 4.1625 5.7631 5.7631
angles: 41.28 90.00 90.00
Element x y z (fractional)
Cu  0.0000  0.9258  0.9258
Ge  0.5000  0.0754  0.0754
Y  0.5000  0.3606  0.3606
Y  0.0000  0.6382  0.6382

Output
Magnetization = 0.0 μB per formula unit
E = -5.9165 eV/atom